# PBE-GGA TcHg2Os, optimized geometry
# formation enthalpy at 0 K: 0.99 eV per atom
# excess energy over the best structure of this formula in the dataset: 664.2 meV/atom
# space group: P4/mmm (123)
data_TcHg2Os
_cell_length_a 4.269
_cell_length_b 4.079
_cell_length_c 4.079
_cell_angle_alpha 90.00
_cell_angle_beta 90.00
_cell_angle_gamma 90.00
_symmetry_space_group_name_H-M 'P 1'
_symmetry_Int_Tables_number 1
loop_
_symmetry_equiv_pos_as_xyz
'x,y,z'
loop_
_atom_site_label
_atom_site_type_symbol
_atom_site_fract_x
_atom_site_fract_y
_atom_site_fract_z
_atom_site_occupancy
Hg1 Hg 0.000 0.000 0.000 1
Hg2 Hg 0.000 0.500 0.500 1
Os1 Os 0.500 0.500 0.000 1
Tc1 Tc 0.500 0.000 0.500 1

# PBE-GGA BaBe2Sb2, optimized geometry
# space group: I4/mmm (139)
# E_form (uncorrected): -0.2999 eV per atom
data_BaBe2Sb2
_cell_length_a 4.159
_cell_length_b 4.159
_cell_length_c 7.731
_cell_angle_alpha 74.40
_cell_angle_beta 74.40
_cell_angle_gamma 90.00
_symmetry_space_group_name_H-M 'P 1'
_symmetry_Int_Tables_number 1
loop_
_symmetry_equiv_pos_as_xyz
'x,y,z'
loop_
_atom_site_label
_atom_site_type_symbol
_atom_site_fract_x
_atom_site_fract_y
_atom_site_fract_z
_atom_site_occupancy
Sb1 Sb 0.353 0.353 0.294 1
Sb2 Sb 0.647 0.647 0.706 1
Ba1 Ba 0.000 0.000 0.000 1
Be1 Be 0.750 0.250 0.500 1
Be2 Be 0.250 0.750 0.500 1

# PBE-GGA AcSmEuTh, optimized geometry
# formation enthalpy at 0 K: 0.26 eV per atom
# space group: F-43m (216)
data_AcSmEuTh
_cell_length_a 5.969
_cell_length_b 5.969
_cell_length_c 5.969
_cell_angle_alpha 60.00
_cell_angle_beta 60.00
_cell_angle_gamma 60.00
_symmetry_space_group_name_H-M 'P 1'
_symmetry_Int_Tables_number 1
loop_
_symmetry_equiv_pos_as_xyz
'x,y,z'
loop_
_atom_site_label
_atom_site_type_symbol
_atom_site_fract_x
_atom_site_fract_y
_atom_site_fract_z
_atom_site_occupancy
Eu1 Eu 0.000 0.000 0.000 1
Ac1 Ac 0.750 0.750 0.750 1
Sm1 Sm 0.250 0.250 0.250 1
Th1 Th 0.500 0.500 0.500 1

# PBE-GGA CaMo2Br, optimized geometry
# excess energy over the best structure of this formula in the dataset: 715.8 meV/atom
# space group: Pmmm (47)
# E_form (uncorrected): 0.7280 eV per atom
data_CaMo2Br
_cell_length_a 3.313
_cell_length_b 5.224
_cell_length_c 5.475
_cell_angle_alpha 90.00
_cell_angle_beta 90.00
_cell_angle_gamma 90.00
_symmetry_space_group_name_H-M 'P 1'
_symmetry_Int_Tables_number 1
loop_
_symmetry_equiv_pos_as_xyz
'x,y,z'
loop_
_atom_site_label
_atom_site_type_symbol
_atom_site_fract_x
_atom_site_fract_y
_atom_site_fract_z
_atom_site_occupancy
Mo1 Mo 0.000 0.000 0.945 1
Mo2 Mo 0.000 0.000 0.555 1
Ca1 Ca 0.500 0.500 0.750 1
Br1 Br 0.500 0.500 0.250 1

# PBE-GGA EuBrF, optimized geometry
# space group: F-43m (216)
# E_form (uncorrected): -2.6358 eV per atom
data_EuBrF
_cell_length_a 4.795
_cell_length_b 4.795
_cell_length_c 4.795
_cell_angle_alpha 60.00
_cell_angle_beta 60.00
_cell_angle_gamma 60.00
_symmetry_space_group_name_H-M 'P 1'
_symmetry_Int_Tables_number 1
loop_
_symmetry_equiv_pos_as_xyz
'x,y,z'
loop_
_atom_site_label
_atom_site_type_symbol
_atom_site_fract_x
_atom_site_fract_y
_atom_site_fract_z
_atom_site_occupancy
Eu1 Eu 0.250 0.250 0.250 1
Br1 Br 0.000 0.000 0.000 1
F1 F 0.500 0.500 0.500 1

# PBE-GGA Pu2AgI8, optimized geometry
# space group: C2/m (12)
# E_form (uncorrected): -0.6835 eV per atom
data_Pu2AgI8
_cell_length_a 6.160
_cell_length_b 9.845
_cell_length_c 9.845
_cell_angle_alpha 69.43
_cell_angle_beta 91.59
_cell_angle_gamma 91.59
_symmetry_space_group_name_H-M 'P 1'
_symmetry_Int_Tables_number 1
loop_
_symmetry_equiv_pos_as_xyz
'x,y,z'
loop_
_atom_site_label
_atom_site_type_symbol
_atom_site_fract_x
_atom_site_fract_y
_atom_site_fract_z
_atom_site_occupancy
Pu1 Pu 0.257 0.206 0.206 1
Pu2 Pu 0.743 0.794 0.794 1
Ag1 Ag 0.000 0.000 0.000 1
I1 I 0.763 0.111 0.717 1
I2 I 0.237 0.283 0.889 1
I3 I 0.754 0.204 0.204 1
I4 I 0.246 0.796 0.796 1
I5 I 0.763 0.717 0.111 1
I6 I 0.237 0.889 0.283 1
I7 I 0.273 0.387 0.387 1
I8 I 0.727 0.613 0.613 1

# PBE-GGA BaCaCd4, optimized geometry
# formation enthalpy at 0 K: -0.29 eV per atom
# excess energy over the best structure of this formula in the dataset: 54.6 meV/atom
# space group: F-43m (216)
data_BaCaCd4
_cell_length_a 6.232
_cell_length_b 6.232
_cell_length_c 6.232
_cell_angle_alpha 60.00
_cell_angle_beta 60.00
_cell_angle_gamma 60.00
_symmetry_space_group_name_H-M 'P 1'
_symmetry_Int_Tables_number 1
loop_
_symmetry_equiv_pos_as_xyz
'x,y,z'
loop_
_atom_site_label
_atom_site_type_symbol
_atom_site_fract_x
_atom_site_fract_y
_atom_site_fract_z
_atom_site_occupancy
Ba1 Ba 0.250 0.250 0.250 1
Ca1 Ca 0.000 0.000 0.000 1
Cd1 Cd 0.124 0.625 0.625 1
Cd2 Cd 0.625 0.625 0.625 1
Cd3 Cd 0.625 0.124 0.625 1
Cd4 Cd 0.625 0.625 0.124 1

# PBE-GGA AcAgSn2Au, optimized geometry
# formation enthalpy at 0 K: -0.51 eV per atom
# space group: I-4m2 (119)
data_AcAgSn2Au
_cell_length_a 4.783
_cell_length_b 4.783
_cell_length_c 6.619
_cell_angle_alpha 111.18
_cell_angle_beta 111.18
_cell_angle_gamma 90.00
_symmetry_space_group_name_H-M 'P 1'
_symmetry_Int_Tables_number 1
loop_
_symmetry_equiv_pos_as_xyz
'x,y,z'
loop_
_atom_site_label
_atom_site_type_symbol
_atom_site_fract_x
_atom_site_fract_y
_atom_site_fract_z
_atom_site_occupancy
Ac1 Ac 0.000 0.000 0.000 1
Ag1 Ag 0.250 0.750 0.500 1
Sn1 Sn 0.625 0.625 0.250 1
Sn2 Sn 0.375 0.375 0.750 1
Au1 Au 0.750 0.250 0.500 1

# PBE-GGA Sr2InNiAg, optimized geometry
# formation enthalpy at 0 K: -0.11 eV per atom
# space group: P4/mmm (123)
data_Sr2InNiAg
_cell_length_a 5.667
_cell_length_b 5.667
_cell_length_c 4.902
_cell_angle_alpha 90.00
_cell_angle_beta 90.00
_cell_angle_gamma 90.00
_symmetry_space_group_name_H-M 'P 1'
_symmetry_Int_Tables_number 1
loop_
_symmetry_equiv_pos_as_xyz
'x,y,z'
loop_
_atom_site_label
_atom_site_type_symbol
_atom_site_fract_x
_atom_site_fract_y
_atom_site_fract_z
_atom_site_occupancy
Sr1 Sr 0.000 0.500 0.000 1
Sr2 Sr 0.500 0.000 0.000 1
Ni1 Ni 0.000 0.000 0.000 1
Ag1 Ag 0.500 0.500 0.500 1
In1 In 0.000 0.000 0.500 1

# PBE-GGA HfBePt3, optimized geometry
# formation enthalpy at 0 K: -0.55 eV per atom
# excess energy over the best structure of this formula in the dataset: 0.0 meV/atom
# space group: Pm-3m (221)
data_HfBePt3
_cell_length_a 4.289
_cell_length_b 4.289
_cell_length_c 4.289
_cell_angle_alpha 90.00
_cell_angle_beta 90.00
_cell_angle_gamma 90.00
_symmetry_space_group_name_H-M 'P 1'
_symmetry_Int_Tables_number 1
loop_
_symmetry_equiv_pos_as_xyz
'x,y,z'
loop_
_atom_site_label
_atom_site_type_symbol
_atom_site_fract_x
_atom_site_fract_y
_atom_site_fract_z
_atom_site_occupancy
Be1 Be 0.000 0.000 0.000 1
Hf1 Hf 0.500 0.500 0.500 1
Pt1 Pt 0.000 0.500 0.000 1
Pt2 Pt 0.000 0.000 0.500 1
Pt3 Pt 0.500 0.000 0.000 1

# PBE-GGA Sr2CaSnF, optimized geometry
# space group: P4/mmm (123)
# E_form (uncorrected): -1.3304 eV per atom
data_Sr2CaSnF
_cell_length_a 5.350
_cell_length_b 5.350
_cell_length_c 4.942
_cell_angle_alpha 90.00
_cell_angle_beta 90.00
_cell_angle_gamma 90.00
_symmetry_space_group_name_H-M 'P 1'
_symmetry_Int_Tables_number 1
loop_
_symmetry_equiv_pos_as_xyz
'x,y,z'
loop_
_atom_site_label
_atom_site_type_symbol
_atom_site_fract_x
_atom_site_fract_y
_atom_site_fract_z
_atom_site_occupancy
Sr1 Sr 0.000 0.500 0.000 1
Sr2 Sr 0.500 0.000 0.000 1
Ca1 Ca 0.000 0.000 0.500 1
Sn1 Sn 0.500 0.500 0.500 1
F1 F 0.000 0.000 0.000 1

# PBE-GGA Al3CrNi, optimized geometry
# formation enthalpy at 0 K: 0.85 eV per atom
# excess energy over the best structure of this formula in the dataset: 314.3 meV/atom
# space group: Pm-3m (221)
data_Al3CrNi
_cell_length_a 4.568
_cell_length_b 4.568
_cell_length_c 4.568
_cell_angle_alpha 90.00
_cell_angle_beta 90.00
_cell_angle_gamma 90.00
_symmetry_space_group_name_H-M 'P 1'
_symmetry_Int_Tables_number 1
loop_
_symmetry_equiv_pos_as_xyz
'x,y,z'
loop_
_atom_site_label
_atom_site_type_symbol
_atom_site_fract_x
_atom_site_fract_y
_atom_site_fract_z
_atom_site_occupancy
Ni1 Ni 0.500 0.500 0.500 1
Al1 Al 0.000 0.500 0.000 1
Al2 Al 0.000 0.000 0.500 1
Al3 Al 0.500 0.000 0.000 1
Cr1 Cr 0.000 0.000 0.000 1

# PBE-GGA Hf3TaFe, optimized geometry
# formation enthalpy at 0 K: 0.50 eV per atom
# excess energy over the best structure of this formula in the dataset: 0.0 meV/atom
# space group: Pm-3m (221)
data_Hf3TaFe
_cell_length_a 4.720
_cell_length_b 4.720
_cell_length_c 4.720
_cell_angle_alpha 90.00
_cell_angle_beta 90.00
_cell_angle_gamma 90.00
_symmetry_space_group_name_H-M 'P 1'
_symmetry_Int_Tables_number 1
loop_
_symmetry_equiv_pos_as_xyz
'x,y,z'
loop_
_atom_site_label
_atom_site_type_symbol
_atom_site_fract_x
_atom_site_fract_y
_atom_site_fract_z
_atom_site_occupancy
Hf1 Hf 0.000 0.500 0.000 1
Hf2 Hf 0.000 0.000 0.500 1
Hf3 Hf 0.500 0.000 0.000 1
Fe1 Fe 0.000 0.000 0.000 1
Ta1 Ta 0.500 0.500 0.500 1

# PBE-GGA TlZn3Pd, optimized geometry
# formation enthalpy at 0 K: 0.01 eV per atom
# excess energy over the best structure of this formula in the dataset: 0.0 meV/atom
# space group: Pm-3m (221)
data_TlZn3Pd
_cell_length_a 4.882
_cell_length_b 4.882
_cell_length_c 4.882
_cell_angle_alpha 90.00
_cell_angle_beta 90.00
_cell_angle_gamma 90.00
_symmetry_space_group_name_H-M 'P 1'
_symmetry_Int_Tables_number 1
loop_
_symmetry_equiv_pos_as_xyz
'x,y,z'
loop_
_atom_site_label
_atom_site_type_symbol
_atom_site_fract_x
_atom_site_fract_y
_atom_site_fract_z
_atom_site_occupancy
Tl1 Tl 0.500 0.500 0.500 1
Zn1 Zn 0.000 0.500 0.000 1
Zn2 Zn 0.000 0.000 0.500 1
Zn3 Zn 0.500 0.000 0.000 1
Pd1 Pd 0.000 0.000 0.000 1

# PBE-GGA Cs2RbBaCd, optimized geometry
# formation enthalpy at 0 K: 0.06 eV per atom
# space group: P4/mmm (123)
data_Cs2RbBaCd
_cell_length_a 7.590
_cell_length_b 7.042
_cell_length_c 7.590
_cell_angle_alpha 90.00
_cell_angle_beta 90.00
_cell_angle_gamma 90.00
_symmetry_space_group_name_H-M 'P 1'
_symmetry_Int_Tables_number 1
loop_
_symmetry_equiv_pos_as_xyz
'x,y,z'
loop_
_atom_site_label
_atom_site_type_symbol
_atom_site_fract_x
_atom_site_fract_y
_atom_site_fract_z
_atom_site_occupancy
Cs1 Cs 0.000 0.000 0.500 1
Cs2 Cs 0.500 0.000 0.000 1
Ba1 Ba 0.000 0.500 0.000 1
Rb1 Rb 0.500 0.500 0.500 1
Cd1 Cd 0.000 0.000 0.000 1

# PBE-GGA ScTlCd2, optimized geometry
# formation enthalpy at 0 K: -0.18 eV per atom
# excess energy over the best structure of this formula in the dataset: 0.0 meV/atom
# space group: Pmmm (47)
data_ScTlCd2
_cell_length_a 4.516
_cell_length_b 4.262
_cell_length_c 4.738
_cell_angle_alpha 90.00
_cell_angle_beta 90.00
_cell_angle_gamma 90.00
_symmetry_space_group_name_H-M 'P 1'
_symmetry_Int_Tables_number 1
loop_
_symmetry_equiv_pos_as_xyz
'x,y,z'
loop_
_atom_site_label
_atom_site_type_symbol
_atom_site_fract_x
_atom_site_fract_y
_atom_site_fract_z
_atom_site_occupancy
Sc1 Sc 0.500 0.000 0.500 1
Tl1 Tl 0.000 0.500 0.500 1
Cd1 Cd 0.000 0.000 0.000 1
Cd2 Cd 0.500 0.500 0.000 1

# PBE-GGA Ac6OsPd2, optimized geometry
# formation enthalpy at 0 K: -0.39 eV per atom
# space group: P2_1/c (14)
data_Ac6OsPd2
_cell_length_a 7.244
_cell_length_b 7.969
_cell_length_c 11.189
_cell_angle_alpha 90.00
_cell_angle_beta 85.92
_cell_angle_gamma 90.00
_symmetry_space_group_name_H-M 'P 1'
_symmetry_Int_Tables_number 1
loop_
_symmetry_equiv_pos_as_xyz
'x,y,z'
loop_
_atom_site_label
_atom_site_type_symbol
_atom_site_fract_x
_atom_site_fract_y
_atom_site_fract_z
_atom_site_occupancy
Ac1 Ac 0.162 0.051 0.255 1
Ac2 Ac 0.169 0.316 0.578 1
Ac3 Ac 0.175 0.319 0.932 1
Ac4 Ac 0.325 0.819 0.568 1
Ac5 Ac 0.331 0.816 0.922 1
Ac6 Ac 0.338 0.551 0.245 1
Ac7 Ac 0.838 0.949 0.745 1
Ac8 Ac 0.831 0.684 0.422 1
Ac9 Ac 0.825 0.681 0.068 1
Ac10 Ac 0.675 0.181 0.432 1
Ac11 Ac 0.669 0.184 0.078 1
Ac12 Ac 0.662 0.449 0.755 1
Os1 Os 0.500 0.500 0.000 1
Os2 Os 0.000 0.000 0.500 1
Pd1 Pd 0.057 0.614 0.773 1
Pd2 Pd 0.443 0.114 0.727 1
Pd3 Pd 0.557 0.886 0.273 1
Pd4 Pd 0.943 0.386 0.227 1

# PBE-GGA Pr7CdAu4, optimized geometry
# formation enthalpy at 0 K: -0.39 eV per atom
# space group: C2/m (12)
data_Pr7CdAu4
_cell_length_a 5.802
_cell_length_b 8.892
_cell_length_c 7.856
_cell_angle_alpha 71.50
_cell_angle_beta 68.33
_cell_angle_gamma 70.96
_symmetry_space_group_name_H-M 'P 1'
_symmetry_Int_Tables_number 1
loop_
_symmetry_equiv_pos_as_xyz
'x,y,z'
loop_
_atom_site_label
_atom_site_type_symbol
_atom_site_fract_x
_atom_site_fract_y
_atom_site_fract_z
_atom_site_occupancy
Pr1 Pr 0.800 0.909 0.492 1
Pr2 Pr 0.200 0.091 0.508 1
Pr3 Pr 0.065 0.609 0.261 1
Pr4 Pr 0.935 0.391 0.739 1
Pr5 Pr 0.282 0.674 0.761 1
Pr6 Pr 0.500 0.000 0.000 1
Pr7 Pr 0.718 0.326 0.239 1
Cd1 Cd 0.000 0.000 0.000 1
Au1 Au 0.537 0.277 0.649 1
Au2 Au 0.463 0.723 0.351 1
Au3 Au 0.694 0.654 0.959 1
Au4 Au 0.306 0.346 0.041 1

# PBE-GGA Pu2TeN, optimized geometry
# excess energy over the best structure of this formula in the dataset: 0.0 meV/atom
# space group: Cccm (66)
# E_form (uncorrected): -1.0831 eV per atom
data_Pu2TeN
_cell_length_a 6.809
_cell_length_b 6.809
_cell_length_c 5.654
_cell_angle_alpha 90.00
_cell_angle_beta 90.00
_cell_angle_gamma 133.77
_symmetry_space_group_name_H-M 'P 1'
_symmetry_Int_Tables_number 1
loop_
_symmetry_equiv_pos_as_xyz
'x,y,z'
loop_
_atom_site_label
_atom_site_type_symbol
_atom_site_fract_x
_atom_site_fract_y
_atom_site_fract_z
_atom_site_occupancy
Pu1 Pu 0.174 0.375 0.500 1
Pu2 Pu 0.375 0.174 0.000 1
Pu3 Pu 0.625 0.826 0.000 1
Pu4 Pu 0.826 0.625 0.500 1
Te1 Te 0.500 0.000 0.500 1
Te2 Te 0.000 0.500 0.000 1
N1 N 0.500 0.500 0.750 1
N2 N 0.500 0.500 0.250 1

# PBE-GGA Sc3GeMo, optimized geometry
# formation enthalpy at 0 K: 0.48 eV per atom
# excess energy over the best structure of this formula in the dataset: 0.0 meV/atom
# space group: Pm-3m (221)
data_Sc3GeMo
_cell_length_a 4.981
_cell_length_b 4.981
_cell_length_c 4.981
_cell_angle_alpha 90.00
_cell_angle_beta 90.00
_cell_angle_gamma 90.00
_symmetry_space_group_name_H-M 'P 1'
_symmetry_Int_Tables_number 1
loop_
_symmetry_equiv_pos_as_xyz
'x,y,z'
loop_
_atom_site_label
_atom_site_type_symbol
_atom_site_fract_x
_atom_site_fract_y
_atom_site_fract_z
_atom_site_occupancy
Sc1 Sc 0.000 0.500 0.000 1
Sc2 Sc 0.000 0.000 0.500 1
Sc3 Sc 0.500 0.000 0.000 1
Mo1 Mo 0.000 0.000 0.000 1
Ge1 Ge 0.500 0.500 0.500 1

no.,uncorrected energy (eV/cell),spin magnetization (μB/cell)
1,-18.3,3.2
2,-19.1,0.0
3,-25.5,6.1
4,-22.4,0.0
5,-21.7,7.0
6,-51.4,9.0
7,-9.3,0.0
8,-20.8,0.0
9,-15.3,0.0
10,-34.5,0.0
11,-17.9,0.0
12,-22.4,2.2
13,-47.7,0.0
14,-11.3,0.0
15,-5.2,0.0
16,-11.3,0.0
17,-99.6,0.0
18,-52.1,0.0
19,-88.9,22.0
20,-32.1,0.0